#w
First-principles (GGA-PBE) data for crystalline VAuSeN2 at its relaxed geometry, as listed in Alexandria via LeMat-Bulk.

extended XYZ file:
```
5
Lattice="3.7849 0.0000 0.0000 0.0000 3.7849 0.0000 0.0000 0.0000 7.3583" Properties=species:S:1:pos:R:3 pbc="T T T"
V 0.0000 0.0000 0.0000
Au 1.8925 1.8925 3.6791
Se 1.8925 1.8925 0.0000
N 0.0000 1.8925 3.6791
N 1.8925 0.0000 3.6791
```

Results
Total magnetization, μB/f.u.: 0.898
Symmetry: P4/mmm, No. 123


#x
First-principles (GGA-PBE) data for crystalline VAuSeN2 at its relaxed geometry, as listed in Alexandria via LeMat-Bulk.

extended XYZ file:
```
5
Lattice="3.7387 0.0000 0.0000 0.0000 3.7387 0.0000 0.0000 0.0000 5.6205" Properties=species:S:1:pos:R:3 pbc="T T T"
V 0.0000 0.0000 0.0000
Au 1.8693 1.8693 2.8103
Se 0.0000 0.0000 2.8103
N 0.0000 1.8693 0.0000
N 1.8693 0.0000 0.0000
```

Results
Total magnetization, μB/f.u.: 0.548
Symmetry: P4/mmm, No. 123


Which structure is most stable, and how do the rest compare? From most to least stable: #x, #w.


#w
First-principles (GGA-PBE) data for crystalline ReAgCl2 at its relaxed geometry, as listed in Alexandria via LeMat-Bulk.

extended XYZ file:
```
4
Lattice="3.0902 -3.7256 0.0000 3.0902 3.7256 0.0000 0.0000 0.0000 2.9537" Properties=species:S:1:pos:R:3 pbc="T T T"
Re 0.0000 0.0000 0.0000
Ag 3.0902 0.0000 0.0000
Cl 1.5451 1.8628 1.4768
Cl 1.5451 -1.8628 1.4768
```

Results
Total magnetization, μB/f.u.: 0.043
Symmetry: Cmmm, No. 65


#x
First-principles (GGA-PBE) data for crystalline ReAgCl2 at its relaxed geometry, as listed in Alexandria via LeMat-Bulk.

extended XYZ file:
```
4
Lattice="3.1118 -4.1877 0.0000 3.1118 4.1877 0.0000 -1.0178 0.0000 2.9371" Properties=species:S:1:pos:R:3 pbc="T T T"
Re 0.0000 0.0000 0.0000
Ag 3.1118 0.0000 0.0000
Cl 1.5559 2.0939 0.0000
Cl 1.5559 -2.0939 0.0000
```

Results
Total magnetization, μB/f.u.: 2.652
Symmetry: C2/m, No. 12


Which structure is most stable, and how do the rest compare? From most to least stable: #x, #w.


#w
First-principles (GGA-PBE) data for crystalline B5C7 at its relaxed geometry, as listed in Alexandria via LeMat-Bulk.

extended XYZ file:
```
12
Lattice="2.6138 0.0000 0.0000 -1.3069 2.2636 0.0000 0.0000 0.0000 13.3480" Properties=species:S:1:pos:R:3 pbc="T T T"
B 0.0000 0.0000 0.0000
B 0.0000 0.0000 5.1072
B 0.0000 1.5091 2.2888
B 0.0000 1.5091 8.9088
B 1.3069 0.7545 11.0725
C 0.0000 0.0000 6.7647
C 0.0000 0.0000 11.7802
C 0.0000 1.5091 0.7287
C 0.0000 1.5091 7.1900
C 1.3069 0.7545 3.0321
C 1.3069 0.7545 4.4434
C 1.3069 0.7545 9.4879
```

Results
Total magnetization, μB/f.u.: 0.000
Symmetry: P3m1, No. 156


#x
First-principles (GGA-PBE) data for crystalline B5C7 at its relaxed geometry, as listed in Alexandria via LeMat-Bulk.

extended XYZ file:
```
12
Lattice="4.2671 -1.8448 0.0000 4.2671 1.8448 0.0000 -1.7226 0.0000 5.0878" Properties=species:S:1:pos:R:3 pbc="T T T"
B 0.0000 0.0000 0.0000
B 2.1707 0.7369 2.1128
B 1.0662 0.5397 4.5986
B 4.6409 0.7369 2.9751
B 5.7454 0.5397 0.4892
C 3.4058 1.7167 2.5439
C 1.7686 -0.1869 3.3997
C 2.6164 -0.2281 0.8782
C 5.0429 -0.1869 1.6882
C 4.1952 -0.2281 4.2096
C 2.9830 -1.1046 3.7408
C 3.8286 -1.1046 1.3470
```

Results
Total magnetization, μB/f.u.: 0.000
Symmetry: C2, No. 5


Which structure is most stable, and how do the rest compare? From most to least stable: #w, #x.


#w
First-principles (GGA-PBE) data for crystalline RuC at its relaxed geometry, as listed in Alexandria via LeMat-Bulk.

extended XYZ file:
```
2
Lattice="2.8591 0.0000 0.0000 0.0000 2.8591 0.0000 0.0000 0.0000 2.9630" Properties=species:S:1:pos:R:3 pbc="T T T"
Ru 0.0000 0.0000 0.0000
C 1.4296 1.4296 0.0000
```

Results
Total magnetization, μB/f.u.: 0.000
Symmetry: P4/mmm, No. 123


#x
First-principles (GGA-PBE) data for crystalline RuC at its relaxed geometry, as listed in Alexandria via LeMat-Bulk.

extended XYZ file:
```
4
Lattice="1.6818 0.9710 4.9556 -1.6818 0.9710 4.9556 0.0000 -1.9420 4.9556" Properties=species:S:1:pos:R:3 pbc="T T T"
Ru 0.0000 0.0000 1.4133
Ru 0.0000 0.0000 13.4534
C 0.0000 0.0000 3.7268
C 0.0000 0.0000 11.1399
```

Results
Total magnetization, μB/f.u.: 0.000
Symmetry: R-3m, No. 166


Which structure is most stable, and how do the rest compare? From most to least stable: #x, #w.


#w
First-principles (GGA-PBE) data for crystalline La3RuAu at its relaxed geometry, as listed in Alexandria via LeMat-Bulk.

extended XYZ file:
```
20
Lattice="7.3552 -5.3833 0.0000 7.3552 5.3833 0.0000 -0.7980 0.0000 7.5901" Properties=species:S:1:pos:R:3 pbc="T T T"
La 5.1300 4.2674 6.7416
La 2.4168 2.0310 5.1165
La 8.3833 4.2674 4.6436
La 5.5175 0.5220 0.5939
La 2.8158 -2.0310 1.3214
La 5.1185 -0.5220 4.3890
La 8.7938 0.5220 3.2012
La 11.0966 2.0310 6.2687
La 8.3948 -0.5220 6.9962
La 5.5290 -4.2674 2.9465
La 11.4956 -2.0310 2.4736
La 8.7823 -4.2674 0.8486
Ru 3.2222 0.5925 2.8050
Ru 2.8232 -0.5925 6.6001
Ru 11.0891 0.5925 0.9901
Ru 10.6901 -0.5925 4.7851
Au 7.1557 3.5951 1.8975
Au 6.7567 1.7298 5.6926
Au 7.1557 -1.7298 1.8975
Au 6.7567 -3.5951 5.6926
```

Results
Total magnetization, μB/f.u.: 0.000
Symmetry: C2/c, No. 15


#x
First-principles (GGA-PBE) data for crystalline La3RuAu at its relaxed geometry, as listed in Alexandria via LeMat-Bulk.

extended XYZ file:
```
10
Lattice="4.0805 0.0000 0.0000 -2.0365 7.2514 0.0000 -0.0065 -0.2146 9.9870" Properties=species:S:1:pos:R:3 pbc="T T T"
La -0.0003 0.7860 3.2503
La -0.0061 1.5875 9.7266
La 0.0010 4.8274 3.4605
La 2.0365 2.2094 6.5266
La 2.0435 5.4493 0.2604
La 2.0378 6.2508 6.7368
Ru 0.0044 6.9737 1.5924
Ru 2.0331 0.0631 8.3947
Au -0.0031 4.1726 7.8707
Au 2.0406 2.8642 2.1163
```

Results
Total magnetization, μB/f.u.: 0.000
Symmetry: P-1, No. 2


Which structure is most stable, and how do the rest compare? From most to least stable: #x, #w.


#w
First-principles (GGA-PBE) data for crystalline InTc2Te at its relaxed geometry, as listed in Alexandria via LeMat-Bulk.

extended XYZ file:
```
4
Lattice="1.6152 -2.6872 0.0000 1.6152 2.6872 0.0000 0.0000 0.0000 8.6831" Properties=species:S:1:pos:R:3 pbc="T T T"
In 0.0000 0.0000 0.0000
Tc 1.6152 0.0000 2.2806
Tc 1.6152 0.0000 6.4025
Te 0.0000 0.0000 4.3416
```

Results
Total magnetization, μB/f.u.: 0.000
Symmetry: Cmmm, No. 65


#x
First-principles (GGA-PBE) data for crystalline InTc2Te at its relaxed geometry, as listed in Alexandria via LeMat-Bulk.

extended XYZ file:
```
4
Lattice="-2.0343 2.0343 4.3853 2.0343 -2.0343 4.3853 2.0343 2.0343 -4.3853" Properties=species:S:1:pos:R:3 pbc="T T T"
In 0.0000 0.0000 0.0000
Tc 2.0343 0.0000 2.1926
Tc 0.0000 0.0000 4.3853
Te 0.0000 2.0343 2.1926
```

Results
Total magnetization, μB/f.u.: 0.344
Symmetry: I-4m2, No. 119


Which structure is most stable, and how do the rest compare? From most to least stable: #x, #w.